# 1
A plane-wave DFT calculation with PBE was carried out for a geometry-optimized YMn2Cu structure.

Calculated values
Energy relative to the elements in eV/atom: 0.304
E_tot in eV for the cell shown: -110.73
Size of the total moment in μB/cell: 28.0
E above lowest polymorph in kJ per mole of atoms: 25.7

a = 6.563 Å, b = 6.563 Å, c = 6.563 Å
α = 90.00°, β = 90.00°, γ = 90.00°
Atoms (fractional coordinates):
1 Y 0.000 0.000 0.000
2 Y 0.000 0.500 0.500
3 Y 0.500 0.000 0.500
4 Y 0.500 0.500 0.000
5 Mn 0.000 0.000 0.500
6 Mn 0.000 0.500 0.000
7 Mn 0.250 0.250 0.250
8 Mn 0.250 0.750 0.750
9 Mn 0.500 0.000 0.000
10 Mn 0.500 0.500 0.500
11 Mn 0.750 0.250 0.750
12 Mn 0.750 0.750 0.250
13 Cu 0.250 0.250 0.750
14 Cu 0.250 0.750 0.250
15 Cu 0.750 0.250 0.250
16 Cu 0.750 0.750 0.750

=====

# 2
A plane-wave DFT calculation with PBE was carried out for a geometry-optimized Ba2TlHg structure.

Calculated values
Energy relative to the elements in eV/atom: -0.468
E_tot in eV for the cell shown: -8.39
Size of the total moment in μB/cell: 0.0

a = 6.017 Å, b = 6.017 Å, c = 4.262 Å
α = 90.00°, β = 90.00°, γ = 90.00°
Atoms (fractional coordinates):
1 Ba 0.000 0.500 0.000
2 Ba 0.500 0.000 0.000
3 Tl 0.000 0.000 0.500
4 Hg 0.500 0.500 0.500

=====

# 3
A plane-wave DFT calculation with PBE was carried out for a geometry-optimized Re2Ir6Ru structure.

Calculated values
Energy relative to the elements in eV/atom: -0.107
E_tot in eV for the cell shown: -88.30
Size of the total moment in μB/cell: 0.0
E above lowest polymorph in kJ per mole of atoms: 0.0

a = 4.736 Å, b = 4.736 Å, c = 8.230 Å
α = 106.74°, β = 106.74°, γ = 48.23°
Atoms (fractional coordinates):
1 Re 0.167 0.167 0.225
2 Re 0.833 0.833 0.775
3 Ir 0.166 0.166 0.893
4 Ir 0.170 0.170 0.555
5 Ir 0.499 0.499 0.325
6 Ir 0.501 0.501 0.675
7 Ir 0.830 0.830 0.445
8 Ir 0.834 0.834 0.107
9 Ru 0.500 0.500 0.000

=====

# 4
A plane-wave DFT calculation with PBE was carried out for a geometry-optimized MnSi2Sb structure.

Calculated values
Raw formation energy in eV per atom: 0.11
E_tot in eV for the cell shown: -47.43
Size of the total moment in μB/cell: 0.0

a = 8.209 Å, b = 2.977 Å, c = 6.053 Å
α = 90.00°, β = 107.22°, γ = 90.00°
Atoms (fractional coordinates):
1 Mn 0.000 0.000 0.000
2 Mn 0.500 0.500 0.000
3 Si 0.025 0.500 0.298
4 Si 0.219 0.500 0.006
5 Si 0.525 0.000 0.298
6 Si 0.719 0.000 0.006
7 Sb 0.364 0.000 0.632
8 Sb 0.864 0.500 0.632

=====

# 5
A plane-wave DFT calculation with PBE was carried out for a geometry-optimized MgZnCrB2 structure.

Calculated values
Energy relative to the elements in eV/atom: 2.251
E_tot in eV for the cell shown: -14.59
Size of the total moment in μB/cell: 0.1

a = 4.143 Å, b = 4.143 Å, c = 4.540 Å
α = 90.00°, β = 90.00°, γ = 90.00°
Atoms (fractional coordinates):
1 Mg 0.000 0.000 0.000
2 Zn 0.500 0.500 0.500
3 Cr 0.000 0.000 0.500
4 B 0.000 0.500 0.000
5 B 0.500 0.000 0.000

=====

# 6
A plane-wave DFT calculation with PBE was carried out for a geometry-optimized Ce2SmP2N6 structure.

Calculated values
Raw formation energy in eV per atom: -0.90
E_tot in eV for the cell shown: -87.24
Size of the total moment in μB/cell: 0.0

a = 5.955 Å, b = 5.955 Å, c = 5.884 Å
α = 90.00°, β = 90.00°, γ = 120.00°
Atoms (fractional coordinates):
1 Ce 0.333 0.667 0.330
2 Ce 0.667 0.333 0.670
3 Sm 0.000 0.000 0.500
4 P 0.333 0.667 0.803
5 P 0.667 0.333 0.197
6 N 0.085 0.395 0.698
7 N 0.309 0.915 0.698
8 N 0.395 0.309 0.302
9 N 0.605 0.691 0.698
10 N 0.691 0.085 0.302
11 N 0.915 0.605 0.302

=====

# 7
A plane-wave DFT calculation with PBE was carried out for a geometry-optimized K2FeTe structure.

Calculated values
Raw formation energy in eV per atom: 0.15
E_tot in eV for the cell shown: -13.22
Size of the total moment in μB/cell: 2.7

a = 3.820 Å, b = 3.820 Å, c = 10.103 Å
α = 90.00°, β = 90.00°, γ = 90.00°
Atoms (fractional coordinates):
1 K 0.000 0.000 0.000
2 K 0.500 0.500 0.397
3 Fe 0.500 0.500 0.718
4 Te 0.000 0.000 0.664

=====

# 8
A plane-wave DFT calculation with PBE was carried out for a geometry-optimized ScTi2ZnH structure.

Calculated values
E_tot in eV for the cell shown: -27.79
Size of the total moment in μB/cell: 0.0

a = 4.103 Å, b = 4.103 Å, c = 4.282 Å
α = 90.00°, β = 90.00°, γ = 90.00°
Atoms (fractional coordinates):
1 Sc 0.000 0.000 0.000
2 Ti 0.000 0.500 0.500
3 Ti 0.500 0.000 0.500
4 Zn 0.500 0.500 0.000
5 H 0.000 0.000 0.500